# 1
! NaAc3Al2O9 GGA-PBE relaxed; values from VASP
! SG	P-3m1
! DFT total energy	-7.15	eV per atom
! size of the total moment	2.08	μB/f.u.
! ΔE_f (raw)	-41.43	eV/f.u.
&SYSTEM
  ibrav = 0, nat = 15, ntyp = 4
/
ATOMIC_SPECIES
O 16.00 O.upf
Ac 227.00 Ac.upf
Na 22.99 Na.upf
Al 26.98 Al.upf
ATOMIC_POSITIONS angstrom
O 1.287 3.943 2.221
O -1.287 3.943 2.221
Ac 2.771 1.600 2.385
Na 0.000 0.000 3.534
Ac 0.000 0.000 0.000
O 0.000 1.713 2.221
Al 2.771 1.600 6.007
O 2.771 3.086 4.847
O 2.771 0.000 0.000
O 4.059 0.857 4.847
O 1.484 0.857 4.847
Al 0.000 3.200 1.061
Ac 0.000 3.200 4.683
O -1.386 2.400 0.000
O 1.386 2.400 0.000
CELL_PARAMETERS angstrom
5.542 0.000 0.000
-2.771 4.800 0.000
0.000 0.000 7.068

---

# 2
! Na2AcAlO4 GGA-PBE relaxed; values from VASP
! SG	I-42m
! DFT total energy	-6.25	eV per atom
! size of the total moment	0.00	μB/f.u.
! ΔE_f (raw)	-19.70	eV/f.u.
&SYSTEM
  ibrav = 0, nat = 8, ntyp = 4
/
ATOMIC_SPECIES
O 16.00 O.upf
Ac 227.00 Ac.upf
Na 22.99 Na.upf
Al 26.98 Al.upf
ATOMIC_POSITIONS angstrom
O 1.862 2.068 0.481
O 7.679 2.267 3.397
O 9.772 3.628 1.876
Ac 0.000 0.000 0.000
O 3.955 0.707 2.002
Na 5.817 1.072 3.163
Na 5.817 3.262 0.715
Al 2.909 2.167 1.939
CELL_PARAMETERS angstrom
5.817 0.000 0.000
2.909 4.358 -0.509
2.909 -0.023 4.387

---

# 3
! Na4Ac3AlO8 GGA-PBE relaxed; values from VASP
! SG	C2/m
! DFT total energy	-6.18	eV per atom
! size of the total moment	0.00	μB/f.u.
! ΔE_f (raw)	-37.83	eV/f.u.
&SYSTEM
  ibrav = 0, nat = 16, ntyp = 4
/
ATOMIC_SPECIES
O 16.00 O.upf
Ac 227.00 Ac.upf
Na 22.99 Na.upf
Al 26.98 Al.upf
ATOMIC_POSITIONS angstrom
O 1.349 2.121 0.239
Ac 1.770 1.671 2.756
O 2.191 1.221 5.273
Ac -1.770 1.671 2.756
Na 1.770 -1.749 2.820
Na 0.000 0.000 0.000
Ac 3.540 3.420 -0.064
Al 0.000 3.420 -0.064
O 3.540 0.023 2.259
O 5.731 2.121 0.239
Na 3.540 0.000 0.000
O -2.191 1.221 5.273
O 0.000 -0.049 3.087
Na -1.770 -1.749 2.820
O 3.540 3.391 2.424
O 0.000 3.319 3.252
CELL_PARAMETERS angstrom
7.080 0.000 0.000
0.000 6.840 -0.128
-3.540 -3.498 5.639

---

# 4
! NaAc2AlO5 GGA-PBE relaxed; values from VASP
! SG	P4/mbm
! DFT total energy	-6.95	eV per atom
! size of the total moment	0.00	μB/f.u.
! ΔE_f (raw)	-24.51	eV/f.u.
&SYSTEM
  ibrav = 0, nat = 18, ntyp = 4
/
ATOMIC_SPECIES
O 16.00 O.upf
Ac 227.00 Ac.upf
Al 26.98 Al.upf
Na 22.99 Na.upf
ATOMIC_POSITIONS angstrom
O -0.550 3.991 4.963
Ac -0.021 1.737 3.494
O 1.487 -0.082 2.714
O 1.315 3.863 2.393
O 2.653 4.318 7.271
Ac 4.162 2.500 6.491
Al 1.132 3.302 0.657
Na 3.777 2.001 2.640
O 2.825 0.374 7.592
Na 0.000 0.000 0.000
O -0.378 0.046 5.285
Ac 1.822 4.689 4.684
Al 2.644 -1.301 1.983
Ac 2.318 -0.453 5.301
O 2.070 2.118 4.993
O 4.690 0.246 5.022
O 4.518 4.190 4.700
O -1.707 0.117 2.352
CELL_PARAMETERS angstrom
-3.413 0.235 4.705
5.289 -2.603 3.967
2.265 6.605 1.314

---

# 5
! Na3Ac2AlO6 GGA-PBE relaxed; values from VASP
! SG	C2/m
! DFT total energy	-6.18	eV per atom
! size of the total moment	0.00	μB/f.u.
! ΔE_f (raw)	-28.54	eV/f.u.
&SYSTEM
  ibrav = 0, nat = 12, ntyp = 4
/
ATOMIC_SPECIES
O 16.00 O.upf
Na 22.99 Na.upf
Al 26.98 Al.upf
Ac 227.00 Ac.upf
ATOMIC_POSITIONS angstrom
O 0.619 -1.049 1.633
O 3.409 -4.160 2.245
Na 1.371 -2.693 4.423
Na 3.389 -2.417 -3.372
O 0.448 -4.399 -0.040
Al 0.000 0.000 0.000
Ac -0.897 -3.030 1.546
O 4.311 -0.710 1.091
Ac 0.016 -2.905 -1.984
O 4.141 -4.060 -0.582
Na 2.380 -2.555 0.526
O 1.351 -0.949 -1.194
CELL_PARAMETERS angstrom
-1.797 -3.153 5.021
0.916 -2.782 -5.459
5.641 0.826 1.490

---

# 6
! NaAc4Al3O12 GGA-PBE relaxed; values from VASP
! SG	Im-3m
! DFT total energy	-7.31	eV per atom
! size of the total moment	1.99	μB/f.u.
! ΔE_f (raw)	-57.74	eV/f.u.
&SYSTEM
  ibrav = 0, nat = 20, ntyp = 4
/
ATOMIC_SPECIES
Al 26.98 Al.upf
O 16.00 O.upf
Ac 227.00 Ac.upf
Na 22.99 Na.upf
ATOMIC_POSITIONS angstrom
Al -2.285 1.616 2.798
O -1.142 3.231 2.798
O 3.427 0.000 2.798
O 1.241 1.755 0.000
Ac -1.142 3.231 0.000
O -1.142 0.808 4.197
Al 2.285 -1.616 2.798
Al 2.285 3.231 0.000
O -1.241 0.878 1.520
O -3.328 2.354 4.076
O 1.241 -0.878 1.520
O 3.328 4.707 0.000
Ac 1.142 1.616 2.798
O 3.328 -2.354 4.076
Ac 3.427 0.000 0.000
Na 0.000 0.000 0.000
O 1.142 4.039 1.399
Ac -1.142 -1.616 2.798
O 3.427 2.423 1.399
O 1.142 -0.808 4.197
CELL_PARAMETERS angstrom
6.854 0.000 0.000
-2.285 6.462 0.000
-2.285 -3.231 5.596

---

Q: Which of these has the lowest ΔE_f (raw)?
A: NaAc4Al3O12

---

What did the fourth record say?
! NaAc2AlO5 GGA-PBE relaxed; values from VASP
! SG	P4/mbm
! DFT total energy	-6.95	eV per atom
! size of the total moment	0.00	μB/f.u.
! ΔE_f (raw)	-24.51	eV/f.u.
&SYSTEM
  ibrav = 0, nat = 18, ntyp = 4
/
ATOMIC_SPECIES
O 16.00 O.upf
Ac 227.00 Ac.upf
Al 26.98 Al.upf
Na 22.99 Na.upf
ATOMIC_POSITIONS angstrom
O -0.550 3.991 4.963
Ac -0.021 1.737 3.494
O 1.487 -0.082 2.714
O 1.315 3.863 2.393
O 2.653 4.318 7.271
Ac 4.162 2.500 6.491
Al 1.132 3.302 0.657
Na 3.777 2.001 2.640
O 2.825 0.374 7.592
Na 0.000 0.000 0.000
O -0.378 0.046 5.285
Ac 1.822 4.689 4.684
Al 2.644 -1.301 1.983
Ac 2.318 -0.453 5.301
O 2.070 2.118 4.993
O 4.690 0.246 5.022
O 4.518 4.190 4.700
O -1.707 0.117 2.352
CELL_PARAMETERS angstrom
-3.413 0.235 4.705
5.289 -2.603 3.967
2.265 6.605 1.314

---

Q: What is the formula in the fifth record?
A: Na3Ac2AlO6

---

Q: Number 6 is which compound?
A: NaAc4Al3O12